(1)
{"formula": "CoSiSe2", "functional": "meta-GGA SCAN", "state": "single point on PBEsol structure", "e_form_raw_ev_per_atom": -0.181, "e_tot_ev_per_cell": -68.200, "space_group": "Immm (71)", "lattice_angstrom": [[-1.700, 1.719, 6.110], [1.700, -1.719, 6.110], [1.700, 1.719, -6.110]], "species": ["Co", "Si", "Se", "Se"], "frac_coords": [[0.000, 0.000, 0.000], [0.500, 0.500, 0.000], [0.142, 0.642, 0.500], [0.858, 0.358, 0.500]]}



(2)
{"formula": "Y2Zn2Os", "functional": "meta-GGA SCAN", "state": "single point on PBEsol structure", "formation_energy_ev_per_atom": -0.197, "e_tot_ev_per_cell": -155.580, "space_group": "I4/mmm (139)", "lattice_angstrom": [[-1.705, 1.705, 8.869], [1.705, -1.705, 8.869], [1.705, 1.705, -8.869]], "species": ["Y", "Y", "Zn", "Zn", "Os"], "frac_coords": [[0.092, 0.092, 0.000], [0.908, 0.908, 0.000], [0.250, 0.750, 0.500], [0.750, 0.250, 0.500], [0.500, 0.500, 0.000]]}



(3)
{"formula": "CaMnZn2", "functional": "meta-GGA SCAN", "state": "single point on PBEsol structure", "formation_energy_ev_per_atom": -0.140, "e_tot_ev_per_cell": -55.510, "space_group": "Fm-3m (225)", "lattice_angstrom": [[0.000, 3.289, 3.289], [3.289, 0.000, 3.289], [3.289, 3.289, 0.000]], "species": ["Ca", "Mn", "Zn", "Zn"], "frac_coords": [[0.000, 0.000, 0.000], [0.500, 0.500, 0.500], [0.250, 0.250, 0.250], [0.750, 0.750, 0.750]]}



(4)
{"formula": "SrZnCd", "functional": "meta-GGA SCAN", "state": "single point on PBEsol structure", "formation_energy_ev_per_atom": -0.134, "e_tot_ev_per_cell": -66.607, "space_group": "F-43m (216)", "lattice_angstrom": [[0.000, 3.483, 3.483], [3.483, 0.000, 3.483], [3.483, 3.483, 0.000]], "species": ["Sr", "Zn", "Cd"], "frac_coords": [[0.000, 0.000, 0.000], [0.750, 0.750, 0.750], [0.500, 0.500, 0.500]]}